(1)
# Ca2SbMo (GGA-PBE, relaxed)
# Spin magnetization ... 0.00 μB per cell
# Formation energy (no corrections) ... 0.238 eV/atom
# D(E_F) ... 7.4 states/eV per cell
data_Ca2SbMo
_space_group_name_H-M_alt 'I -4 m 2'
_space_group_IT_number 119
_space_group_name_Hall 'I -4 -2'
_cell_length_a 4.577
_cell_length_b 4.577
_cell_length_c 9.047
_cell_angle_alpha 90.00
_cell_angle_beta 90.00
_cell_angle_gamma 90.00
loop_
_atom_site_label
_atom_site_type_symbol
_atom_site_fract_x
_atom_site_fract_y
_atom_site_fract_z
Ca1 Ca 0.000 0.000 0.000
Ca2 Ca 0.000 0.500 0.250
Sb1 Sb 0.000 0.000 0.500
Mo1 Mo 0.000 0.500 0.750

***

(2)
# CaSbMo2 (GGA-PBE, relaxed)
# Spin magnetization ... 0.00 μB per cell
# Formation energy (no corrections) ... 0.701 eV/atom
# D(E_F) ... 12.1 states/eV per cell
data_CaSbMo2
_space_group_name_H-M_alt 'R -3 m'
_space_group_IT_number 166
_space_group_name_Hall '-R 3 2"'
_cell_length_a 3.1941
_cell_length_b 3.1941
_cell_length_c 27.9893
_cell_angle_alpha 90.00
_cell_angle_beta 90.00
_cell_angle_gamma 120.00
loop_
_atom_site_label
_atom_site_type_symbol
_atom_site_fract_x
_atom_site_fract_y
_atom_site_fract_z
Ca1 Ca 0.0000 0.0000 0.0000
Sb1 Sb 0.0000 0.0000 0.5000
Mo1 Mo 0.0000 0.0000 0.2404

***

(3)
# CaSbMo2 (GGA-PBE, relaxed)
# Spin magnetization ... 0.00 μB per cell
# Formation energy (no corrections) ... 0.114 eV/atom
# D(E_F) ... 2.8 states/eV per cell
data_CaSbMo2
_space_group_name_H-M_alt 'P 4 m m'
_space_group_IT_number 99
_cell_length_a 3.299
_cell_length_b 3.299
_cell_length_c 7.928
_cell_angle_alpha 90.00
_cell_angle_beta 90.00
_cell_angle_gamma 90.00
loop_
_space_group_symop_operation_xyz
'x,y,z'
'-y,x,z'
'-x,-y,z'
'y,-x,z'
'-x,y,z'
'y,x,z'
'x,-y,z'
'-y,-x,z'
loop_
_atom_site_label
_atom_site_type_symbol
_atom_site_fract_x
_atom_site_fract_y
_atom_site_fract_z
Ca1 Ca 0.000 0.000 0.000
Sb1 Sb 0.500 0.500 0.673
Mo1 Mo 0.000 0.000 0.444
Mo2 Mo 0.500 0.500 0.285